A plane-wave DFT calculation with PBE-GGA was carried out for Mg3Cu4N after structural relaxation.

Geometry as POSCAR:
```
Mg3Cu4N
1.0
6.068 0.415 2.972
4.072 5.240 -1.336
-6.446 -1.105 1.750
Cu Mg N
4 3 1
direct
0.500 0.000 0.500
0.157 0.157 0.000
0.000 0.500 0.500
0.843 0.843 0.000
0.250 0.750 0.500
0.750 0.250 0.500
0.500 0.500 0.000
0.000 0.000 0.000
```

Output
The total energy comes out at -0.21492 Ry/atom. The space group is No. 139.



A plane-wave DFT calculation with PBE-GGA was carried out for MgNbCuNi after structural relaxation.

Geometry as POSCAR:
```
MgNbCuNi
1.0
0.000 3.056 3.056
3.056 0.000 3.056
3.056 3.056 0.000
Mg Cu Ni Nb
1 1 1 1
direct
0.750 0.750 0.750
0.250 0.250 0.250
0.500 0.500 0.500
0.000 0.000 0.000
```

Output
As for the energy above the most stable polymorph in this dataset: 286 meV per atom. The total energy comes out at -0.36818 Ry/atom. The value obtained for the total magnetization is 0.0 μB/cell. The space group is No. 216.



A plane-wave DFT calculation with PBE-GGA was carried out for MgNbCuNi after structural relaxation.

Geometry as POSCAR:
```
MgNbCuNi
1.0
2.247 -2.075 3.091
0.829 1.977 3.783
-2.002 -1.320 3.628
Nb Cu Mg Ni
1 1 1 1
direct
0.000 0.000 0.000
0.750 0.750 0.750
0.500 0.500 0.500
0.250 0.250 0.250
```

Output
As for the energy above the most stable polymorph in this dataset: 0 meV per atom. The total energy comes out at -0.38922 Ry/atom. The value obtained for the total magnetization is 0.0 μB/cell. The space group is No. 216.



A plane-wave DFT calculation with PBE-GGA was carried out for MgNbCuNi after structural relaxation.

Geometry as POSCAR:
```
MgNbCuNi
1.0
1.247 -2.887 2.952
-2.947 -2.049 2.392
-0.754 -4.199 -0.636
Mg Nb Ni Cu
1 1 1 1
direct
0.000 0.000 0.000
0.250 0.250 0.250
0.500 0.500 0.500
0.750 0.750 0.750
```

Output
As for the energy above the most stable polymorph in this dataset: 151 meV per atom. The total energy comes out at -0.37815 Ry/atom. The value obtained for the total magnetization is 0.0 μB/cell. The space group is No. 216.



A plane-wave DFT calculation with PBE-GGA was carried out for MgNbCuPd after structural relaxation.

Geometry as POSCAR:
```
MgNbCuPd
1.0
0.118 -1.669 4.153
-3.542 0.462 2.700
-2.494 -3.567 1.051
Pd Nb Cu Mg
1 1 1 1
direct
0.250 0.250 0.250
0.500 0.500 0.500
0.750 0.750 0.750
0.000 0.000 0.000
```

Output
As for the energy above the most stable polymorph in this dataset: 0 meV per atom. The total energy comes out at -0.39014 Ry/atom. The value obtained for the total magnetization is 0.0 μB/cell. The space group is No. 216.



A plane-wave DFT calculation with PBE-GGA was carried out for MgNbCuPd after structural relaxation.

Geometry as POSCAR:
```
MgNbCuPd
1.0
-2.556 -2.409 -2.729
-4.395 0.674 -0.103
-1.875 1.908 -3.553
Nb Cu Mg Pd
1 1 1 1
direct
0.500 0.500 0.500
0.000 0.000 0.000
0.750 0.750 0.750
0.250 0.250 0.250
```

Output
As for the energy above the most stable polymorph in this dataset: 143 meV per atom. The total energy comes out at -0.37964 Ry/atom. The value obtained for the total magnetization is 0.0 μB/cell. The space group is No. 216.



A plane-wave DFT calculation with PBE-GGA was carried out for MgNbCuPd after structural relaxation.

Geometry as POSCAR:
```
MgNbCuPd
1.0
-3.531 -1.979 1.802
-0.888 0.547 4.306
-3.496 2.417 1.252
Nb Pd Cu Mg
1 1 1 1
direct
0.500 0.500 0.500
0.000 0.000 0.000
0.250 0.250 0.250
0.750 0.750 0.750
```

Output
As for the energy above the most stable polymorph in this dataset: 207 meV per atom. The total energy comes out at -0.37491 Ry/atom. The value obtained for the total magnetization is 0.0 μB/cell. The space group is No. 216.



A plane-wave DFT calculation with PBE-GGA was carried out for MgNbCuSn after structural relaxation.

Geometry as POSCAR:
```
MgNbCuSn
1.0
-4.374 0.125 1.667
-1.353 3.531 2.761
-3.025 3.196 -1.600
Mg Cu Sn Nb
1 1 1 1
direct
0.250 0.250 0.250
0.750 0.750 0.750
0.000 0.000 0.000
0.500 0.500 0.500
```

Output
As for the energy above the most stable polymorph in this dataset: 111 meV per atom. The total energy comes out at -0.32708 Ry/atom. The value obtained for the total magnetization is 2.1 μB/cell. The space group is No. 216.



A plane-wave DFT calculation with PBE-GGA was carried out for MgNbCuSn after structural relaxation.

Geometry as POSCAR:
```
MgNbCuSn
1.0
1.195 -1.037 4.410
-3.323 -0.606 3.246
-0.849 -4.277 1.713
Cu Nb Mg Sn
1 1 1 1
direct
0.750 0.750 0.750
0.250 0.250 0.250
0.500 0.500 0.500
0.000 0.000 0.000
```

Output
As for the energy above the most stable polymorph in this dataset: 0 meV per atom. The total energy comes out at -0.33522 Ry/atom. The value obtained for the total magnetization is 1.7 μB/cell. The space group is No. 216.



A plane-wave DFT calculation with PBE-GGA was carried out for Nd2Mg4CuNi after structural relaxation.

Geometry as POSCAR:
```
Nd2Mg4CuNi
1.0
-5.254 1.358 6.073
3.422 -2.505 3.521
4.147 1.706 3.206
Nd Mg Cu Ni
2 4 1 1
direct
0.500 0.058 0.058
0.000 0.942 0.942
0.692 0.347 0.347
0.308 0.347 0.347
0.199 0.651 0.651
0.801 0.651 0.651
0.000 0.231 0.231
0.500 0.772 0.772
```

Output
The total energy comes out at -0.24475 Ry/atom. The value obtained for the total magnetization is 0.0 μB/cell. The space group is No. 38.



A plane-wave DFT calculation with PBE-GGA was carried out for Nd2Mg4CuPd after structural relaxation.

Geometry as POSCAR:
```
Nd2Mg4CuPd
1.0
-6.814 4.417 -1.139
1.128 2.935 4.637
2.863 4.694 1.078
Mg Nd Cu Pd
4 2 1 1
direct
0.696 0.652 0.652
0.304 0.652 0.652
0.805 0.349 0.349
0.195 0.349 0.349
0.000 0.059 0.059
0.500 0.941 0.941
0.000 0.771 0.771
0.500 0.226 0.226
```

Output
The total energy comes out at -0.25190 Ry/atom. The value obtained for the total magnetization is 0.0 μB/cell. The space group is No. 38.



A plane-wave DFT calculation with PBE-GGA was carried out for Pr2NdMg3CuPd2 after structural relaxation.

Geometry as POSCAR:
```
Pr2NdMg3CuPd2
1.0
4.137 0.000 0.000
0.000 6.633 3.830
0.000 -6.633 3.830
Cu Mg Pd Nd Pr
1 3 2 1 2
direct
0.000 0.999 0.999
0.500 0.762 0.999
0.500 0.238 0.238
0.500 0.999 0.762
0.500 0.666 0.335
0.500 0.335 0.666
0.000 0.588 0.588
0.000 0.413 0.000
0.000 0.000 0.413
```

Output
The total energy comes out at -0.30645 Ry/atom. The value obtained for the total magnetization is 0.0 μB/cell. The space group is No. 38.